# 1
Na3VPCO7 | Alexandria | GGA-PBEsol | relaxed; distance to the lowest polymorph of the same formula = 0.000 eV per formula unit; uncorrected energy = -7.027 eV per atom; space-group type = P2_1/m (11)
1.0
5.1595 0.0000 0.0000
0.0000 6.6677 0.0000
-0.1931 0.0000 8.8849
Na V P C O
6 2 2 2 14
Direct
0.2296 0.2500 0.0820
0.2543 0.5072 0.7255
0.2543 0.9928 0.7255
0.7457 0.0072 0.2745
0.7457 0.4928 0.2745
0.7704 0.7500 0.9180
0.2254 0.7500 0.3416
0.7746 0.2500 0.6584
0.2852 0.2500 0.4125
0.7148 0.7500 0.5875
0.2813 0.7500 0.0584
0.7187 0.2500 0.9416
0.0555 0.7500 0.1212
0.1400 0.2500 0.5623
0.2134 0.0646 0.3137
0.2134 0.4354 0.3137
0.3040 0.7500 0.9149
0.4176 0.7500 0.5538
0.4828 0.7500 0.1499
0.5172 0.2500 0.8501
0.5824 0.2500 0.4462
0.6960 0.2500 0.0851
0.7866 0.5646 0.6863
0.7866 0.9354 0.6863
0.8600 0.7500 0.4377
0.9445 0.2500 0.8788

---

# 2
NaPrC2O6 | Alexandria | GGA-PBEsol | relaxed; uncorrected energy = -7.869 eV per atom; space-group type = Pmc2_1 (26)
1.0
5.1228 0.0000 0.0000
0.0000 6.3655 0.0000
0.0000 0.0000 7.0930
Na Pr C O
2 2 4 12
Direct
0.0000 0.0191 0.0000
0.0000 0.9809 0.5000
0.5000 0.3669 0.2970
0.5000 0.6331 0.7970
0.0000 0.4667 0.9671
0.0000 0.5333 0.4671
0.5000 0.0855 0.7147
0.5000 0.9145 0.2147
0.0000 0.3561 0.3790
0.0000 0.6439 0.8790
0.2218 0.3784 0.0049
0.2218 0.6216 0.5049
0.2856 0.0114 0.2521
0.2856 0.9886 0.7521
0.5000 0.2701 0.6355
0.5000 0.7299 0.1355
0.7144 0.0114 0.2521
0.7144 0.9886 0.7521
0.7782 0.3784 0.0049
0.7782 0.6216 0.5049

---

# 3
Na6Sn2C4SO16 | Alexandria | GGA-PBEsol | relaxed; uncorrected energy = -6.574 eV per atom; space-group type = Fd-3 (203)
1.0
0.0000 7.2068 7.2068
7.2068 0.0000 7.2068
7.2068 7.2068 0.0000
Na Sn C S O
12 4 8 2 32
Direct
0.0825 0.0825 0.6675
0.0825 0.6675 0.0825
0.0825 0.6675 0.6675
0.3325 0.3325 0.9175
0.3325 0.9175 0.3325
0.3325 0.9175 0.9175
0.6675 0.0825 0.0825
0.6675 0.0825 0.6675
0.6675 0.6675 0.0825
0.9175 0.3325 0.3325
0.9175 0.3325 0.9175
0.9175 0.9175 0.3325
0.0000 0.5000 0.5000
0.5000 0.0000 0.5000
0.5000 0.5000 0.0000
0.5000 0.5000 0.5000
0.2713 0.2713 0.2713
0.2713 0.2713 0.6861
0.2713 0.6861 0.2713
0.3139 0.7287 0.7287
0.6861 0.2713 0.2713
0.7287 0.3139 0.7287
0.7287 0.7287 0.3139
0.7287 0.7287 0.7287
0.1250 0.1250 0.1250
0.8750 0.8750 0.8750
0.0653 0.0653 0.0653
0.0653 0.0653 0.3042
0.0653 0.3042 0.0653
0.1446 0.2698 0.3994
0.1446 0.3994 0.6861
0.1446 0.6861 0.2698
0.2698 0.1446 0.6861
0.2698 0.3994 0.1446
0.2698 0.6861 0.3994
0.3042 0.0653 0.0653
0.3139 0.6006 0.7302
0.3139 0.7302 0.8554
0.3139 0.8554 0.6006
0.3994 0.1446 0.2698
0.3994 0.2698 0.6861
0.3994 0.6861 0.1446
0.6006 0.3139 0.8554
0.6006 0.7302 0.3139
0.6006 0.8554 0.7302
0.6861 0.1446 0.3994
0.6861 0.2698 0.1446
0.6861 0.3994 0.2698
0.6958 0.9347 0.9347
0.7302 0.3139 0.6006
0.7302 0.6006 0.8554
0.7302 0.8554 0.3139
0.8554 0.3139 0.7302
0.8554 0.6006 0.3139
0.8554 0.7302 0.6006
0.9347 0.6958 0.9347
0.9347 0.9347 0.6958
0.9347 0.9347 0.9347

---

# 4
Na2SnCSO7 | Alexandria | GGA-PBEsol | relaxed; uncorrected energy = -6.430 eV per atom; space-group type = P2_1/m (11)
1.0
5.4010 0.0000 0.0000
0.0000 6.9564 0.0000
-0.0878 0.0000 9.3813
Na Sn C S O
4 2 2 2 14
Direct
0.2336 0.0072 0.3020
0.2336 0.4928 0.3020
0.7664 0.5072 0.6980
0.7664 0.9928 0.6980
0.2935 0.2500 0.8910
0.7065 0.7500 0.1090
0.2714 0.2500 0.6034
0.7286 0.7500 0.3966
0.2545 0.7500 0.8795
0.7455 0.2500 0.1205
0.0023 0.7500 0.8189
0.0686 0.2500 0.6811
0.2454 0.7500 0.0392
0.2672 0.2500 0.4698
0.3952 0.5777 0.8304
0.3952 0.9223 0.8304
0.4798 0.2500 0.6782
0.5202 0.7500 0.3218
0.6048 0.0777 0.1696
0.6048 0.4223 0.1696
0.7328 0.7500 0.5302
0.7546 0.2500 0.9608
0.9314 0.7500 0.3189
0.9977 0.2500 0.1811

---

# 5
Na6V2C4SO16 | Alexandria | GGA-PBEsol | relaxed; uncorrected energy = -7.030 eV per atom; space-group type = Fd-3 (203)
1.0
0.0000 6.9417 6.9417
6.9417 0.0000 6.9417
6.9417 6.9417 0.0000
Na V C S O
12 4 8 2 32
Direct
0.0915 0.0915 0.6585
0.0915 0.6585 0.0915
0.0915 0.6585 0.6585
0.3415 0.3415 0.9085
0.3415 0.9085 0.3415
0.3415 0.9085 0.9085
0.6585 0.0915 0.0915
0.6585 0.0915 0.6585
0.6585 0.6585 0.0915
0.9085 0.3415 0.3415
0.9085 0.3415 0.9085
0.9085 0.9085 0.3415
0.0000 0.5000 0.5000
0.5000 0.0000 0.5000
0.5000 0.5000 0.0000
0.5000 0.5000 0.5000
0.2818 0.2818 0.2818
0.2818 0.2818 0.6547
0.2818 0.6547 0.2818
0.3453 0.7182 0.7182
0.6547 0.2818 0.2818
0.7182 0.3453 0.7182
0.7182 0.7182 0.3453
0.7182 0.7182 0.7182
0.1250 0.1250 0.1250
0.8750 0.8750 0.8750
0.0629 0.0629 0.0629
0.0629 0.0629 0.3112
0.0629 0.3112 0.0629
0.1392 0.3045 0.6560
0.1392 0.4003 0.3045
0.1392 0.6560 0.4003
0.3045 0.1392 0.4003
0.3045 0.4003 0.6560
0.3045 0.6560 0.1392
0.3112 0.0629 0.0629
0.3440 0.5997 0.8608
0.3440 0.6955 0.5997
0.3440 0.8608 0.6955
0.4003 0.1392 0.6560
0.4003 0.3045 0.1392
0.4003 0.6560 0.3045
0.5997 0.3440 0.6955
0.5997 0.6955 0.8608
0.5997 0.8608 0.3440
0.6560 0.1392 0.3045
0.6560 0.3045 0.4003
0.6560 0.4003 0.1392
0.6888 0.9371 0.9371
0.6955 0.3440 0.8608
0.6955 0.5997 0.3440
0.6955 0.8608 0.5997
0.8608 0.3440 0.5997
0.8608 0.5997 0.6955
0.8608 0.6955 0.3440
0.9371 0.6888 0.9371
0.9371 0.9371 0.6888
0.9371 0.9371 0.9371

---

# 6
Na2SiSbCO7 | Alexandria | GGA-PBEsol | relaxed; uncorrected energy = -6.804 eV per atom; space-group type = P2_1/m (11)
1.0
5.2173 0.0000 0.0000
0.0000 6.7279 0.0000
-0.1324 0.0000 9.2560
Na Si Sb C O
4 2 2 2 14
Direct
0.2405 0.0116 0.2248
0.2405 0.4884 0.2248
0.7595 0.5116 0.7752
0.7595 0.9884 0.7752
0.2907 0.7500 0.5820
0.7093 0.2500 0.4180
0.2099 0.2500 0.6352
0.7901 0.7500 0.3648
0.2744 0.2500 0.9209
0.7256 0.7500 0.0791
0.0515 0.2500 0.8507
0.1769 0.7500 0.4138
0.1849 0.5553 0.6691
0.1849 0.9447 0.6691
0.2929 0.2500 0.0555
0.3930 0.2500 0.4217
0.4738 0.2500 0.8351
0.5262 0.7500 0.1649
0.6070 0.7500 0.5783
0.7071 0.7500 0.9445
0.8151 0.0553 0.3309
0.8151 0.4447 0.3309
0.8231 0.2500 0.5862
0.9485 0.7500 0.1493

---

# 7
NaSiSbCO7 | Alexandria | GGA-PBEsol | relaxed; uncorrected energy = -7.104 eV per atom; space-group type = P2_1 (4)
1.0
5.2367 0.0000 0.0000
0.0000 6.4460 0.0000
-0.1067 0.0000 9.4080
Na Si Sb C O
2 2 2 2 14
Direct
0.1920 0.0000 0.1995
0.8080 0.5000 0.8005
0.2856 0.2972 0.5649
0.7144 0.7972 0.4351
0.2232 0.8022 0.6529
0.7768 0.3022 0.3471
0.3357 0.7929 0.9121
0.6643 0.2929 0.0879
0.0966 0.7928 0.8586
0.1294 0.2896 0.4141
0.2087 0.4955 0.6632
0.2212 0.1023 0.6676
0.3919 0.8030 0.0385
0.4078 0.8057 0.4730
0.4934 0.2833 0.1940
0.5066 0.7833 0.8060
0.5922 0.3057 0.5270
0.6081 0.3030 0.9615
0.7788 0.6023 0.3324
0.7913 0.9955 0.3368
0.8706 0.7896 0.5859
0.9034 0.2928 0.1414

---

# 8
Na3SiSbCO7 | Alexandria | GGA-PBEsol | relaxed; uncorrected energy = -6.594 eV per atom; space-group type = P2_1/m (11)
1.0
5.0884 0.0000 0.0000
0.0000 6.9303 0.0000
-0.4500 0.0000 9.4535
Na Si Sb C O
6 2 2 2 14
Direct
0.2204 0.2500 0.4012
0.2478 0.5036 0.7528
0.2478 0.9964 0.7528
0.7522 0.0036 0.2472
0.7522 0.4964 0.2472
0.7796 0.7500 0.5988
0.2787 0.2500 0.0904
0.7213 0.7500 0.9096
0.2491 0.7500 0.1381
0.7509 0.2500 0.8619
0.2734 0.7500 0.4489
0.7266 0.2500 0.5511
0.0669 0.7500 0.3603
0.1403 0.2500 0.9266
0.1897 0.0619 0.1816
0.1897 0.4381 0.1816
0.2379 0.7500 0.5832
0.3983 0.7500 0.9199
0.4931 0.2500 0.5981
0.5069 0.7500 0.4019
0.6017 0.2500 0.0801
0.7621 0.2500 0.4168
0.8103 0.5619 0.8184
0.8103 0.9381 0.8184
0.8597 0.7500 0.0734
0.9331 0.2500 0.6397

---

# 9
Na3SiSnCO7 | Alexandria | GGA-PBEsol | relaxed; uncorrected energy = -6.570 eV per atom; space-group type = P2_1/m (11)
1.0
5.1478 0.0000 0.0000
0.0000 6.8403 0.0000
-0.2030 0.0000 9.3084
Na Si Sn C O
6 2 2 2 14
Direct
0.2219 0.2500 0.4115
0.2525 0.5029 0.7539
0.2525 0.9971 0.7539
0.7475 0.0029 0.2461
0.7475 0.4971 0.2461
0.7781 0.7500 0.5885
0.2941 0.2500 0.0887
0.7059 0.7500 0.9113
0.2274 0.7500 0.1350
0.7726 0.2500 0.8650
0.2714 0.7500 0.4464
0.7286 0.2500 0.5536
0.0552 0.7500 0.3703
0.1695 0.2500 0.9236
0.2045 0.0609 0.1854
0.2045 0.4391 0.1854
0.2612 0.7500 0.5848
0.3857 0.7500 0.9217
0.4931 0.7500 0.3832
0.5069 0.2500 0.6168
0.6143 0.2500 0.0783
0.7388 0.2500 0.4152
0.7955 0.5609 0.8146
0.7955 0.9391 0.8146
0.8305 0.7500 0.0764
0.9448 0.2500 0.6297

---

# 10
Na2VSiCO7 | Alexandria | GGA-PBEsol | relaxed; uncorrected energy = -7.501 eV per atom; space-group type = P2_1/m (11)
1.0
5.2805 0.0000 0.0000
0.0000 6.5012 0.0000
-0.3537 0.0000 8.9353
Na V Si C O
4 2 2 2 14
Direct
0.2352 0.0019 0.2759
0.2352 0.4981 0.2759
0.7648 0.5019 0.7241
0.7648 0.9981 0.7241
0.2027 0.2500 0.8551
0.7973 0.7500 0.1449
0.2790 0.7500 0.9302
0.7210 0.2500 0.0698
0.2748 0.2500 0.5816
0.7252 0.7500 0.4184
0.0496 0.2500 0.6372
0.1262 0.7500 0.0884
0.2056 0.5438 0.8361
0.2056 0.9562 0.8361
0.3172 0.2500 0.4450
0.4148 0.2500 0.0230
0.4557 0.2500 0.6877
0.5443 0.7500 0.3123
0.5852 0.7500 0.9770
0.6828 0.7500 0.5550
0.7944 0.0438 0.1639
0.7944 0.4562 0.1639
0.8738 0.2500 0.9116
0.9504 0.7500 0.3628

---

# 11
Na2SnC4O8 | Alexandria | GGA-PBEsol | relaxed; uncorrected energy = -7.204 eV per atom; space-group type = C2/c (15)
1.0
5.1773 -2.8382 0.0000
5.1773 2.8382 0.0000
-4.4150 0.0000 12.7972
Na Sn C O
4 2 8 16
Direct
0.1726 0.2027 0.0514
0.2027 0.1726 0.5514
0.7973 0.8274 0.4486
0.8274 0.7973 0.9486
0.1652 0.8348 0.2500
0.8348 0.1652 0.7500
0.3234 0.3618 0.3645
0.3618 0.3234 0.8645
0.3978 0.5768 0.8897
0.4232 0.6022 0.6103
0.5768 0.3978 0.3897
0.6022 0.4232 0.1103
0.6382 0.6766 0.1355
0.6766 0.6382 0.6355
0.1109 0.5301 0.3120
0.1772 0.3431 0.9008
0.2114 0.7625 0.5580
0.2375 0.7886 0.9420
0.3431 0.1772 0.4008
0.4013 0.4519 0.1413
0.4519 0.4013 0.6413
0.4699 0.8891 0.1880
0.5301 0.1109 0.8120
0.5481 0.5987 0.3587
0.5987 0.5481 0.8587
0.6569 0.8228 0.5992
0.7625 0.2114 0.0580
0.7886 0.2375 0.4420
0.8228 0.6569 0.0992
0.8891 0.4699 0.6880